Here is an optimized crystal structure of HoNiSb from Alexandria via LeMat-Bulk. Energies are from GGA-PBE.

Cell lengths 6.3355, 6.3355, 6.3355 Å; angles 90.00, 90.00, 90.00 degrees
Last column: nearest neighbours and their distance in Å.
Space group F-43m (No. 216)
Unique sites:
Ho  0.0000  0.0000  0.0000 x4  4 Ni 2.74
Ni  0.2500  0.2500  0.2500 x4  4 Ho 2.74, 4 Sb 2.74
Sb  0.0000  0.0000  0.5000 x4  4 Ni 2.74

* M_tot: 0.00 μB/f.u.
* formation energy (no corrections): -907 meV/atom